Dy2Ho3: optimized geometry, GGA-PBE.

a = 6.5868 Å, b = 15.6866 Å, c = 6.1017 Å
α = 90.00°, β = 90.00°, γ = 90.00°
Space group Ibam (No. 72)
Symmetry-distinct sites (fractional):
1 Dy 0.1491 0.1919 0.0000 (multiplicity 8)
2 Ho 0.0000 0.0000 0.2500 (multiplicity 4)
3 Ho 0.1167 0.4078 0.0000 (multiplicity 8)

Computed properties:
* polymorph energy (0 for the lowest one): 0.0 meV/atom
* ΔE_f: 66 kJ/mol of formula units
* total magnetic moment: 0.00 μB/cell